Density functional theory data (GGA-PBE) for an optimized crystal structure of AcSm7Mg4.

a b c (Å): 5.986 10.079 7.481
angles (deg): 81.59 66.42 72.72
Atoms (fractional coordinates):
Sm 0.780 0.877 0.563
Sm 0.500 0.000 0.000
Sm 0.673 0.391 0.262
Sm 0.327 0.609 0.738
Sm 0.943 0.381 0.733
Sm 0.057 0.619 0.267
Sm 0.220 0.123 0.437
Ac 0.000 0.000 0.000
Mg 0.432 0.784 0.352
Mg 0.568 0.216 0.648
Mg 0.314 0.333 0.040
Mg 0.686 0.667 0.960

Properties
* SG: No. 12
* DFT formation energy: 212 meV/atom

Density functional theory data (GGA-PBE) for an optimized crystal structure of HfMn2CdFe.

a b c (Å): 4.784 4.722 4.784
angles (deg): 90.00 90.00 90.00
Atoms (fractional coordinates):
Mn 0.000 0.000 0.500
Mn 0.500 0.000 0.000
Fe 0.000 0.500 0.000
Cd 0.000 0.000 0.000
Hf 0.500 0.500 0.500

Properties
* SG: No. 123
* DFT formation energy: 1387 meV/atom

Density functional theory data (GGA-PBE) for an optimized crystal structure of Nd2DyHo4Er2.

a b c (Å): 6.819 9.836 6.591
angles (deg): 121.27 127.00 59.26
Atoms (fractional coordinates):
Ho 0.742 0.887 0.204
Ho 0.617 0.762 0.504
Ho 0.258 0.113 0.796
Ho 0.383 0.238 0.496
Dy 0.000 0.000 0.000
Nd 0.728 0.341 0.395
Nd 0.272 0.659 0.605
Er 0.176 0.556 0.963
Er 0.824 0.444 0.037

Properties
* SG: No. 2
* DFT formation energy: 88 meV/atom

Density functional theory data (GGA-PBE) for an optimized crystal structure of Al2V6HN.

a b c (Å): 5.508 5.508 5.514
angles (deg): 60.15 60.15 90.15
Atoms (fractional coordinates):
V 0.256 0.256 0.000
V 0.256 0.744 0.000
V 0.256 0.256 0.488
V 0.744 0.744 0.000
V 0.744 0.744 0.512
V 0.744 0.256 0.000
Al 0.750 0.250 0.500
Al 0.250 0.750 0.500
H 0.500 0.500 0.000
N 0.000 0.000 0.000

Properties
* SG: No. 69

Density functional theory data (GGA-PBE) for an optimized crystal structure of Nb4HgSe8.

a b c (Å): 6.958 6.958 9.617
angles (deg): 68.79 68.79 60.00
Atoms (fractional coordinates):
Se 0.769 0.269 0.193
Se 0.731 0.231 0.807
Se 0.769 0.769 0.193
Se 0.731 0.731 0.806
Se 0.231 0.231 0.807
Se 0.231 0.731 0.807
Se 0.269 0.769 0.193
Se 0.269 0.269 0.194
Nb 0.000 0.000 0.000
Nb 0.500 0.500 0.000
Nb 0.500 0.000 0.000
Nb 0.000 0.500 0.000
Hg 0.500 0.500 0.500

Properties
* SG: No. 166
* energy relative to the elements, uncorrected: -751.2 meV per atom

Density functional theory data (GGA-PBE) for an optimized crystal structure of NaThS2.

a b c (Å): 3.975 3.975 7.577
angles (deg): 74.79 74.79 60.00
Atoms (fractional coordinates):
Na 0.496 0.496 0.511
S 0.080 0.080 0.760
S 0.256 0.256 0.232
Th 0.668 0.668 0.996

Properties
* SG: No. 160
* energy relative to the elements, uncorrected: -1590.4 meV per atom

Density functional theory data (GGA-PBE) for an optimized crystal structure of Y5Si2Hg2.

a b c (Å): 7.560 7.572 8.796
angles (deg): 90.00 64.55 90.00
Atoms (fractional coordinates):
Si 0.118 0.379 0.000
Si 0.618 0.121 0.000
Si 0.382 0.879 0.000
Si 0.882 0.621 0.000
Hg 0.217 0.000 0.566
Hg 0.783 0.000 0.434
Hg 0.717 0.500 0.566
Hg 0.283 0.500 0.434
Y 0.054 0.676 0.255
Y 0.946 0.324 0.745
Y 0.191 0.176 0.255
Y 0.446 0.176 0.745
Y 0.554 0.824 0.255
Y 0.500 0.500 0.000
Y 0.691 0.324 0.255
Y 0.809 0.824 0.745
Y 0.309 0.676 0.745
Y 0.000 0.000 0.000

Properties
* SG: No. 64
* energy relative to the elements, uncorrected: -633.7 meV per atom

Density functional theory data (GGA-PBE) for an optimized crystal structure of PrNdSe3.

a b c (Å): 4.212 7.253 9.276
angles (deg): 90.00 90.00 90.00
Atoms (fractional coordinates):
Se 0.000 0.773 0.329
Se 0.500 0.500 0.067
Se 0.500 0.273 0.671
Se 0.000 0.227 0.329
Se 0.000 0.000 0.933
Se 0.500 0.727 0.671
Nd 0.500 0.500 0.398
Nd 0.000 0.000 0.602
Pr 0.500 0.000 0.149
Pr 0.000 0.500 0.851

Properties
* SG: No. 59
* energy relative to the elements, uncorrected: -1846.0 meV per atom
* energy relative to the lowest polymorph listed for this composition: 5.9 kJ/mol of atoms

Density functional theory data (GGA-PBE) for an optimized crystal structure of K2CeP2S6.

a b c (Å): 6.974 6.617 8.326
angles (deg): 110.08 90.00 121.80
Atoms (fractional coordinates):
Ce 0.500 0.000 0.500
S 0.203 0.921 0.225
S 0.281 0.079 0.775
S 0.797 0.079 0.775
S 0.719 0.921 0.225
S 0.755 0.510 0.576
S 0.245 0.490 0.424
P 0.067 0.134 0.200
P 0.933 0.866 0.800
K 0.303 0.606 0.844
K 0.697 0.394 0.156

Properties
* SG: No. 12
* energy relative to the elements, uncorrected: -905.9 meV per atom

Density functional theory data (GGA-PBE) for an optimized crystal structure of ZrZnRh.

a b c (Å): 4.291 5.056 5.248
angles (deg): 90.00 90.00 115.11
Atoms (fractional coordinates):
Zr 0.790 0.580 0.250
Zr 0.210 0.420 0.750
Zn 0.500 0.000 0.000
Zn 0.500 0.000 0.500
Rh 0.900 0.801 0.750
Rh 0.100 0.199 0.250

Properties
* SG: No. 63
* DFT formation energy: -668 meV/atom

Density functional theory data (GGA-PBE) for an optimized crystal structure of Nd4ThTe5.

a b c (Å): 4.487 4.487 16.248
angles (deg): 97.94 97.94 90.00
Atoms (fractional coordinates):
Te 0.901 0.901 0.803
Te 0.298 0.298 0.596
Te 0.702 0.702 0.404
Te 0.099 0.099 0.197
Te 0.500 0.500 0.000
Nd 0.399 0.399 0.798
Nd 0.601 0.601 0.202
Nd 0.804 0.804 0.608
Nd 0.196 0.196 0.392
Th 0.000 0.000 0.000

Properties
* SG: No. 139
* energy relative to the elements, uncorrected: -1334.3 meV per atom
* energy relative to the lowest polymorph listed for this composition: 0.0 kJ/mol of atoms

Density functional theory data (GGA-PBE) for an optimized crystal structure of LiScAu2.

a b c (Å): 4.642 4.642 4.642
angles (deg): 60.00 60.00 60.00
Atoms (fractional coordinates):
Au 0.250 0.250 0.250
Au 0.000 0.000 0.000
Li 0.500 0.500 0.500
Sc 0.750 0.750 0.750

Properties
* SG: No. 216
* DFT formation energy: -525 meV/atom
* energy relative to the lowest polymorph listed for this composition: 15.8 kJ/mol of atoms

Density functional theory data (GGA-PBE) for an optimized crystal structure of Gd3Si5Se12.

a b c (Å): 13.713 13.713 13.713
angles (deg): 109.47 109.47 109.47
Atoms (fractional coordinates):
Si 0.000 0.000 0.500
Si 0.250 0.375 0.625
Si 0.500 0.000 0.000
Si 0.375 0.125 0.750
Si 0.875 0.625 0.750
Si 0.500 0.500 0.500
Si 0.625 0.750 0.875
Si 0.125 0.750 0.375
Si 0.875 0.250 0.625
Si 0.000 0.500 0.500
Si 0.750 0.625 0.375
Si 0.750 0.125 0.875
Si 0.375 0.250 0.125
Si 0.500 0.000 0.500
Si 0.125 0.375 0.250
Si 0.625 0.875 0.250
Si 0.000 0.500 0.000
Si 0.250 0.875 0.125
Si 0.500 0.500 0.000
Si 0.000 0.000 0.000
Se 0.817 0.912 0.288
Se 0.124 0.712 0.530
Se 0.912 0.095 0.624
Se 0.405 0.376 0.588
Se 0.817 0.905 0.030
Se 0.412 0.124 0.595
Se 0.095 0.912 0.124
Se 0.317 0.788 0.412
Se 0.088 0.905 0.376
Se 0.183 0.088 0.712
Se 0.588 0.876 0.405
Se 0.530 0.212 0.124
Se 0.095 0.183 0.470
Se 0.683 0.470 0.595
Se 0.376 0.970 0.788
Se 0.376 0.405 0.088
Se 0.595 0.970 0.683
Se 0.905 0.817 0.530
Se 0.788 0.470 0.376
Se 0.530 0.317 0.905
Se 0.876 0.288 0.470
Se 0.683 0.212 0.588
Se 0.212 0.683 0.088
Se 0.212 0.530 0.624
Se 0.030 0.624 0.712
Se 0.588 0.712 0.683
Se 0.088 0.183 0.212
Se 0.912 0.817 0.788
Se 0.030 0.405 0.817
Se 0.712 0.588 0.183
Se 0.470 0.683 0.095
Se 0.970 0.376 0.288
Se 0.712 0.124 0.030
Se 0.288 0.412 0.817
Se 0.412 0.288 0.317
Se 0.124 0.412 0.095
Se 0.595 0.624 0.412
Se 0.788 0.317 0.912
Se 0.905 0.088 0.876
Se 0.470 0.788 0.876
Se 0.970 0.595 0.183
Se 0.405 0.030 0.317
Se 0.876 0.588 0.905
Se 0.624 0.030 0.212
Se 0.624 0.595 0.912
Se 0.183 0.095 0.970
Se 0.288 0.876 0.970
Se 0.317 0.530 0.405
Gd 0.875 0.125 0.250
Gd 0.625 0.375 0.750
Gd 0.375 0.750 0.625
Gd 0.750 0.875 0.625
Gd 0.125 0.250 0.875
Gd 0.250 0.625 0.875
Gd 0.750 0.375 0.125
Gd 0.125 0.875 0.750
Gd 0.625 0.250 0.375
Gd 0.875 0.750 0.125
Gd 0.375 0.625 0.250
Gd 0.250 0.125 0.375

Properties
* SG: No. 230
* energy relative to the elements, uncorrected: -797.1 meV per atom

Density functional theory data (GGA-PBE) for an optimized crystal structure of KMnCrSe3.

a b c (Å): 3.874 8.406 9.796
angles (deg): 113.49 90.00 90.00
Atoms (fractional coordinates):
Mn 0.250 0.091 0.623
Mn 0.750 0.909 0.377
Cr 0.250 0.682 0.151
Cr 0.750 0.318 0.849
Se 0.250 0.760 0.440
Se 0.750 0.240 0.560
Se 0.250 0.124 0.876
Se 0.750 0.876 0.124
Se 0.750 0.473 0.130
Se 0.250 0.527 0.870
K 0.250 0.239 0.255
K 0.750 0.761 0.745

Properties
* SG: No. 11
* energy relative to the elements, uncorrected: -718.1 meV per atom

Density functional theory data (GGA-PBE) for an optimized crystal structure of NdCu4Ge4.

a b c (Å): 6.280 6.280 7.989
angles (deg): 90.00 90.00 90.00
Atoms (fractional coordinates):
Ge 0.743 0.000 0.348
Ge 0.000 0.743 0.652
Ge 0.500 0.243 0.848
Ge 0.757 0.500 0.152
Ge 0.500 0.757 0.848
Ge 0.000 0.257 0.652
Ge 0.243 0.500 0.152
Ge 0.257 0.000 0.348
Cu 0.500 0.196 0.149
Cu 0.000 0.304 0.351
Cu 0.000 0.696 0.351
Cu 0.304 0.000 0.649
Cu 0.696 0.000 0.649
Cu 0.500 0.804 0.149
Cu 0.804 0.500 0.851
Cu 0.196 0.500 0.851
Nd 0.000 0.000 0.000
Nd 0.500 0.500 0.500

Properties
* SG: No. 137
* DFT formation energy: -129 meV/atom

Density functional theory data (GGA-PBE) for an optimized crystal structure of Zr3Sc2Os2.

a b c (Å): 3.383 5.954 8.514
angles (deg): 114.76 90.00 106.50
Atoms (fractional coordinates):
Zr 0.500 0.000 0.000
Zr 0.616 0.232 0.441
Zr 0.384 0.768 0.559
Sc 0.153 0.306 0.817
Sc 0.847 0.694 0.183
Os 0.821 0.642 0.760
Os 0.179 0.358 0.240

Properties
* SG: No. 12
* DFT formation energy: -281 meV/atom

Density functional theory data (GGA-PBE) for an optimized crystal structure of KEr2Au2O6.

a b c (Å): 6.599 6.209 7.200
angles (deg): 126.24 86.54 65.72
Atoms (fractional coordinates):
O 0.912 0.718 0.974
O 0.088 0.282 0.026
O 0.827 0.113 0.458
O 0.173 0.887 0.542
O 0.587 0.328 0.055
O 0.413 0.672 0.945
Er 0.182 0.639 0.158
Er 0.818 0.361 0.842
Au 0.683 0.222 0.264
Au 0.317 0.778 0.736
K 0.500 0.000 0.500

Properties
* SG: No. 2
* energy relative to the elements, uncorrected: -1708.4 meV per atom

Density functional theory data (GGA-PBE) for an optimized crystal structure of CsNa2Se.

a b c (Å): 4.888 4.888 8.746
angles (deg): 73.78 73.78 60.00
Atoms (fractional coordinates):
Cs 0.474 0.474 0.577
Na 0.027 0.027 0.920
Na 0.296 0.296 0.113
Se 0.703 0.703 0.890

Properties
* SG: No. 160
* energy relative to the elements, uncorrected: -672.1 meV per atom

Density functional theory data (GGA-PBE) for an optimized crystal structure of Rb2MgGaTe4.

a b c (Å): 7.577 7.261 7.261
angles (deg): 74.21 58.55 58.55
Atoms (fractional coordinates):
Mg 0.000 0.000 0.000
Te 0.896 0.000 0.676
Te 0.428 0.676 0.000
Te 0.104 0.324 0.000
Te 0.572 0.000 0.324
Rb 0.500 0.500 0.500
Rb 0.000 0.500 0.500
Ga 0.500 0.000 0.000

Properties
* SG: No. 121
* energy relative to the elements, uncorrected: -696.8 meV per atom

no.,calculated total energy (eV per atom),DOS(E_F) (states/eV per atom),total magnetization (μB per formula unit)
1,-3.4151,1.256,0.27
2,-6.1467,1.808,9.30
3,-4.5316,1.545,0.00
4,-7.8047,1.008,0.00
5,-6.0171,0.626,0.00
6,-5.8389,0.662,0.00
7,-5.4970,0.727,0.00
8,-5.8462,0.002,0.00
9,-4.8798,0.114,0.12
10,-6.3921,0.719,0.00
11,-5.5542,0.755,0.00
12,-4.2254,1.131,0.00
13,-6.3557,0.484,20.85
14,-5.7754,0.122,1.92
15,-4.5315,0.262,0.00
16,-8.9623,0.892,0.00
17,-5.9381,0.283,0.92
18,-2.4162,0.388,0.00
19,-3.0872,0.864,0.00